A plane-wave DFT calculation with PBE-GGA was carried out for an optimized crystal structure of BaHfTlAu2.

DFT formation energy: 0.942 eV per atom
M_tot: 2.1 μB/f.u.
crystal system: tetragonal

abc: 5.2893 6.1434 5.2893
angles: 90.00 90.00 90.00
Last column: nearest neighbours and their distance in Å.
Positions (direct):
Ba (0.0000, 0.5000, 0.0000)  2 Tl 3.07
Tl (0.0000, 0.0000, 0.0000)  4 Au 2.64
Au (0.5000, 0.0000, 0.0000)  2 Tl 2.64
Au (0.0000, 0.0000, 0.5000)  2 Tl 2.64
Hf (0.5000, 0.5000, 0.5000)  4 Ba 3.74, 8 Au 4.05